## CaMn2Al (PBE-GGA)

Data for a geometry-optimized CaMn2Al structure.

Cell and atoms, written as POSCAR:
```
CaMn2Al
1.0
1.527 0.881 9.219
-1.527 0.881 9.219
0.000 -1.763 9.219
Ca Mn Al
1 2 1
Cartesian
0.000 0.000 0.000
0.000 0.000 6.605
0.000 0.000 21.053
0.000 0.000 13.829
```

Output
**DOS at the Fermi energy**: 4.565 states/eV per cell
**Formation energy**: 0.50 eV/atom
**Spin magnetization**: 6.4 μB/f.u.
**VASP energy**: -5.516 eV per atom